[1]
Here is Pb2AuSe2 after structural relaxation from Alexandria via LeMat-Bulk. Energies are from PBE.

Properties
The density of states at the Fermi level is 0.908 states/eV per atom. Its symmetry is P4/mbm, No. 127. For the density, the calculation gives 9.39 g/cm³. The total energy is -3.61 eV/atom. The calculated volume comes out at 27.2 Å³ per atom.

Lattice parameters (Å, degrees): 8.1944 8.1944 4.0501 90.00 90.00 90.00
With the nearest neighbours (Å) after each atom.
Element x y z (fractional)
Pb 0.3409 0.8409 0.0000  2 Se 2.92, 2 Au 3.08
Pb 0.8409 0.6591 0.0000  2 Se 2.92, 2 Au 3.08
Pb 0.6591 0.1591 0.0000  2 Se 2.92, 2 Au 3.08
Pb 0.1591 0.3409 0.0000  2 Se 2.92, 2 Au 3.08
Au 0.0000 0.0000 0.0000  4 Pb 3.08
Au 0.5000 0.5000 0.0000  4 Pb 3.08
Se 0.1588 0.6588 0.5000  2 Pb 2.92
Se 0.6588 0.8412 0.5000  2 Pb 2.92
Se 0.8412 0.3412 0.5000  2 Pb 2.92
Se 0.3412 0.1588 0.5000  2 Pb 2.92

---

[2]
Here is PbAu2Se2 after structural relaxation from Alexandria via LeMat-Bulk. Energies are from PBE.

Properties
The density of states at the Fermi level is 0.273 states/eV per atom. Its symmetry is P4/mbm, No. 127. For the density, the calculation gives 11.16 g/cm³. The total energy is -3.40 eV/atom. The calculated volume comes out at 22.6 Å³ per atom.

Lattice parameters (Å, degrees): 7.8033 7.8033 3.7105 90.00 90.00 90.00
With the nearest neighbours (Å) after each atom.
Element x y z (fractional)
Pb 0.0000 0.0000 0.0000  4 Au 3.09, 8 Se 3.39
Pb 0.5000 0.5000 0.0000  4 Au 3.09, 8 Se 3.39
Au 0.3766 0.8766 0.0000  1 Au 2.72, 2 Se 2.75
Au 0.8766 0.6234 0.0000  1 Au 2.72, 2 Se 2.75
Au 0.6234 0.1234 0.0000  1 Au 2.72, 2 Se 2.75
Au 0.1234 0.3766 0.0000  1 Au 2.72, 2 Se 2.75
Se 0.1923 0.6923 0.5000  2 Au 2.75
Se 0.6923 0.8077 0.5000  2 Au 2.75
Se 0.8077 0.3077 0.5000  2 Au 2.75
Se 0.3077 0.1923 0.5000  2 Au 2.75

---

[3]
Here is PbAu2Se after structural relaxation from Alexandria via LeMat-Bulk. Energies are from PBE.

Properties
The density of states at the Fermi level is 0.352 states/eV per atom. Its symmetry is Cm, No. 8. For the density, the calculation gives 11.76 g/cm³. The total energy is -3.50 eV/atom. The calculated volume comes out at 24.0 Å³ per atom.

Lattice parameters (Å, degrees): 4.1974 4.1974 6.7289 71.80 71.80 60.27
With the nearest neighbours (Å) after each atom.
Element x y z (fractional)
Au 0.0017 0.0017 0.9957  3 Se 2.71-2.72, 3 Au 2.81
Au 0.2595 0.2595 0.2220  3 Au 2.81, 3 Pb 2.92
Pb 0.5076 0.5076 0.4802  3 Au 2.92, 3 Se 3.14-3.17
Se 0.7312 0.7312 0.8021  3 Au 2.71-2.72

---

[4]
Here is Pb2AuSe2 after structural relaxation from Alexandria via LeMat-Bulk. Energies are from PBE.

Properties
The density of states at the Fermi level is 0.329 states/eV per atom. Its symmetry is I4/mmm, No. 139. For the density, the calculation gives 8.47 g/cm³. The total energy is -3.48 eV/atom. The calculated volume comes out at 30.2 Å³ per atom.

Lattice parameters (Å, degrees): 4.5613 4.5613 7.9339 73.29 73.29 90.00
With the nearest neighbours (Å) after each atom.
Element x y z (fractional)
Pb 0.3810 0.3810 0.2380  4 Se 2.97
Pb 0.6190 0.6190 0.7620  4 Se 2.97
Au 0.0000 0.0000 0.0000  8 Pb 3.66
Se 0.7500 0.2500 0.5000  4 Pb 2.97, 4 Se 3.23
Se 0.2500 0.7500 0.5000  4 Pb 2.97, 4 Se 3.23